# 1
LiPuTa2N4 PBE optimized geometry; D(E_F) = 7.47 states/eV/f.u.; raw formation energy = -1164 meV/atom; crystal system = monoclinic; symmetry = No. 10
1.0
3.1721 0.0000 0.0000
0.0000 5.3939 0.1252
0.0000 -1.8601 5.3461
N Ta Li Pu
4 2 1 1
Direct
0.5000 0.2665 0.2716
0.0000 0.7608 0.2791
0.0000 0.2392 0.7209
0.5000 0.7335 0.7284
0.5000 0.0000 0.5000
0.0000 0.5000 0.5000
0.5000 0.5000 0.0000
0.0000 0.0000 0.0000

# 2
ScGe3Pd3 PBE optimized geometry; D(E_F) = 6.17 states/eV/f.u.; crystal system = cubic; energy relative to the elements = -0.020 eV/atom; symmetry = No. 223
1.0
6.7755 0.0000 0.0000
0.0000 6.7755 0.0000
0.0000 0.0000 6.7755
Ge Pd Sc
6 6 2
Direct
0.0000 0.7500 0.5000
0.5000 0.0000 0.7500
0.2500 0.5000 0.0000
0.0000 0.2500 0.5000
0.5000 0.0000 0.2500
0.7500 0.5000 0.0000
0.5000 0.2500 0.0000
0.0000 0.5000 0.2500
0.5000 0.7500 0.0000
0.2500 0.0000 0.5000
0.0000 0.5000 0.7500
0.7500 0.0000 0.5000
0.0000 0.0000 0.0000
0.5000 0.5000 0.5000

# 3
BP PBE optimized geometry; crystal system = hexagonal; energy relative to the elements = -0.292 eV/atom; symmetry = No. 187
1.0
-0.8346 -0.8821 2.9632
-1.0351 -1.6801 -2.5221
4.3174 -3.1000 0.2931
P B
2 2
Direct
0.6667 0.3333 0.2907
0.6667 0.3333 0.7093
0.0000 0.0000 0.8311
0.0000 0.0000 0.1689

Per-record uncorrected energy, eV/atom: -10.32 -5.13 -6.34